CsLaTeHRh | Alexandria | PBE | optimized geometry; mass density = 4.48 g/cm³; total moment = 0.0 μB per cell; final energy = -4.515 eV/atom
1.0
4.870 -0.004 0.003
0.856 5.239 0.008
0.797 0.065 7.310
Rh Te La H Cs
1 1 1 1 1
Direct
0.156 0.177 0.796 Rh
0.681 0.994 0.833 Te
0.257 0.591 0.726 La
0.280 0.600 0.412 H
0.970 0.161 0.301 Cs